This record from Alexandria describes Rb2PuI4 after structural relaxation. The functional is PBE.

```
data_Rb2PuI4
_cell_length_a 6.2390
_cell_length_b 6.2390
_cell_length_c 18.6727
_cell_angle_alpha 90.00
_cell_angle_beta 90.00
_cell_angle_gamma 90.00
_space_group_name_H-M_alt 'I 4/m m m'
_space_group_IT_number 139
_space_group_name_Hall '-I 4 2'
loop_
_atom_site_label
_atom_site_type_symbol
_atom_site_fract_x
_atom_site_fract_y
_atom_site_fract_z
_atom_site_occupancy
Rb1 Rb 0.0000 0.0000 0.1364 1
Pu1 Pu 0.0000 0.0000 0.5000 1
I1 I 0.0000 0.0000 0.3297 1
I2 I 0.0000 0.5000 0.0000 1
```

This record from Alexandria describes RbPuI3 after structural relaxation. The functional is PBE.

```
data_RbPuI3
_cell_length_a 6.9797
_cell_length_b 8.7393
_cell_length_c 8.7460
_cell_angle_alpha 119.96
_cell_angle_beta 90.40
_cell_angle_gamma 90.01
_space_group_name_H-M_alt 'P -1'
_space_group_IT_number 2
loop_
_space_group_symop_operation_xyz
'x,y,z'
'-x,-y,-z'
loop_
_atom_site_label
_atom_site_type_symbol
_atom_site_fract_x
_atom_site_fract_y
_atom_site_fract_z
_atom_site_occupancy
Rb1 Rb 0.2500 0.1661 0.3333 1
Pu1 Pu 0.0000 0.5000 0.0000 1
Pu2 Pu 0.5000 0.5000 0.0000 1
I1 I 0.2485 0.1554 0.7538 1
I2 I 0.2485 0.7461 0.9014 1
I3 I 0.2536 0.5980 0.3442 1
```

This record from Alexandria describes RbPuI3 after structural relaxation. The functional is PBE.

```
data_RbPuI3
_cell_length_a 14.9278
_cell_length_b 8.7146
_cell_length_c 7.3511
_cell_angle_alpha 90.00
_cell_angle_beta 101.18
_cell_angle_gamma 90.00
_space_group_name_H-M_alt 'C 1 2/m 1'
_space_group_IT_number 12
loop_
_space_group_symop_operation_xyz
'x,y,z'
'-x,-y,-z'
'-x,y,-z'
'x,-y,z'
'x+1/2,y+1/2,z'
'-x+1/2,-y+1/2,-z'
'-x+1/2,y+1/2,-z'
'x+1/2,-y+1/2,z'
loop_
_atom_site_label
_atom_site_type_symbol
_atom_site_fract_x
_atom_site_fract_y
_atom_site_fract_z
_atom_site_occupancy
Rb1 Rb 0.1671 0.0000 0.2198 1
Pu1 Pu 0.0000 0.5000 0.0000 1
Pu2 Pu 0.0000 0.5000 0.5000 1
I1 I 0.0898 0.2422 0.7863 1
I2 I 0.1775 0.5000 0.3205 1
```

This record from Alexandria describes Rb4Pu6I19 after structural relaxation. The functional is PBE.

```
data_Rb4Pu6I19
_cell_length_a 14.0299
_cell_length_b 14.0299
_cell_length_c 14.0299
_cell_angle_alpha 90.00
_cell_angle_beta 90.00
_cell_angle_gamma 90.00
_space_group_name_H-M_alt 'I 2 3'
_space_group_IT_number 197
_space_group_name_Hall 'I 2 2 3'
loop_
_atom_site_label
_atom_site_type_symbol
_atom_site_fract_x
_atom_site_fract_y
_atom_site_fract_z
_atom_site_occupancy
Rb1 Rb 0.1531 0.1531 0.8469 1
Pu1 Pu 0.0000 0.3340 0.5000 1
I1 I 0.0000 0.0000 0.0000 1
I2 I 0.0000 0.0000 0.3493 1
I3 I 0.0507 0.3111 0.2817 1
```

This record from Alexandria describes RbPuI3 after structural relaxation. The functional is PBE.

```
data_RbPuI3
_cell_length_a 6.2740
_cell_length_b 6.2740
_cell_length_c 6.2740
_cell_angle_alpha 90.00
_cell_angle_beta 90.00
_cell_angle_gamma 90.00
_space_group_name_H-M_alt 'P m -3 m'
_space_group_IT_number 221
_space_group_name_Hall '-P 4 2 3'
loop_
_atom_site_label
_atom_site_type_symbol
_atom_site_fract_x
_atom_site_fract_y
_atom_site_fract_z
_atom_site_occupancy
Rb1 Rb 0.0000 0.0000 0.0000 1
Pu1 Pu 0.5000 0.5000 0.5000 1
I1 I 0.0000 0.5000 0.5000 1
```

This record from Alexandria describes Rb5Pu3I12 after structural relaxation. The functional is PBE.

```
data_Rb5Pu3I12
_cell_length_a 21.6570
_cell_length_b 21.6570
_cell_length_c 21.6570
_cell_angle_alpha 90.00
_cell_angle_beta 90.00
_cell_angle_gamma 90.00
_space_group_name_H-M_alt 'I a -3 d'
_space_group_IT_number 230
_space_group_name_Hall '-I 4bd 2c 3'
loop_
_atom_site_label
_atom_site_type_symbol
_atom_site_fract_x
_atom_site_fract_y
_atom_site_fract_z
_atom_site_occupancy
Rb1 Rb 0.0000 0.0000 0.0000 1
Rb2 Rb 0.0000 0.2500 0.3750 1
Pu1 Pu 0.0000 0.2500 0.1250 1
I1 I 0.0232 0.0391 0.3410 1
```

This record from Alexandria describes RbPu3I8 after structural relaxation. The functional is PBE.

```
data_RbPu3I8
_cell_length_a 15.9688
_cell_length_b 9.5403
_cell_length_c 9.3897
_cell_angle_alpha 90.00
_cell_angle_beta 123.97
_cell_angle_gamma 90.00
_space_group_name_H-M_alt 'C 1 2/m 1'
_space_group_IT_number 12
loop_
_space_group_symop_operation_xyz
'x,y,z'
'-x,-y,-z'
'-x,y,-z'
'x,-y,z'
'x+1/2,y+1/2,z'
'-x+1/2,-y+1/2,-z'
'-x+1/2,y+1/2,-z'
'x+1/2,-y+1/2,z'
loop_
_atom_site_label
_atom_site_type_symbol
_atom_site_fract_x
_atom_site_fract_y
_atom_site_fract_z
_atom_site_occupancy
Rb1 Rb 0.0000 0.0000 0.0000 1
Pu1 Pu 0.0000 0.5000 0.0000 1
Pu2 Pu 0.2500 0.2500 0.5000 1
I1 I 0.0105 0.2757 0.2607 1
I2 I 0.2349 0.5000 0.7093 1
I3 I 0.2455 0.5000 0.2589 1
```

This record from Alexandria describes RbPu4I8 after structural relaxation. The functional is PBE.

```
data_RbPu4I8
_cell_length_a 8.5043
_cell_length_b 8.5043
_cell_length_c 28.3747
_cell_angle_alpha 90.00
_cell_angle_beta 90.00
_cell_angle_gamma 120.00
_space_group_name_H-M_alt 'R -3 m'
_space_group_IT_number 166
_space_group_name_Hall '-R 3 2"'
loop_
_atom_site_label
_atom_site_type_symbol
_atom_site_fract_x
_atom_site_fract_y
_atom_site_fract_z
_atom_site_occupancy
Rb1 Rb 0.0000 0.0000 0.0000 1
Pu1 Pu 0.0000 0.0000 0.5000 1
Pu2 Pu 0.0000 0.5000 0.5000 1
I1 I 0.0000 0.0000 0.2375 1
I2 I 0.0029 0.5014 0.2380 1
```

This record from Alexandria describes RbSmPuI6 after structural relaxation. The functional is PBE.

```
data_RbSmPuI6
_cell_length_a 8.0695
_cell_length_b 8.0695
_cell_length_c 16.4935
_cell_angle_alpha 90.00
_cell_angle_beta 90.00
_cell_angle_gamma 120.00
_space_group_name_H-M_alt 'P -3 1 c'
_space_group_IT_number 163
_space_group_name_Hall '-P 3 2c'
loop_
_atom_site_label
_atom_site_type_symbol
_atom_site_fract_x
_atom_site_fract_y
_atom_site_fract_z
_atom_site_occupancy
Rb1 Rb 0.0000 0.0000 0.0000 1
Sm1 Sm 0.3333 0.6667 0.2500 1
Pu1 Pu 0.3333 0.6667 0.7500 1
I1 I 0.0081 0.3707 0.1385 1
```

This record from Alexandria describes RbPuSnI6 after structural relaxation. The functional is PBE.

```
data_RbPuSnI6
_cell_length_a 8.1423
_cell_length_b 8.1423
_cell_length_c 8.0709
_cell_angle_alpha 90.00
_cell_angle_beta 90.00
_cell_angle_gamma 120.00
_space_group_name_H-M_alt 'P 3 1 2'
_space_group_IT_number 149
loop_
_space_group_symop_operation_xyz
'x,y,z'
'-y,x-y,z'
'-x+y,-x,z'
'-y,-x,-z'
'-x+y,y,-z'
'x,x-y,-z'
loop_
_atom_site_label
_atom_site_type_symbol
_atom_site_fract_x
_atom_site_fract_y
_atom_site_fract_z
_atom_site_occupancy
Rb1 Rb 0.0000 0.0000 0.0000 1
Pu1 Pu 0.6667 0.3333 0.5000 1
Sn1 Sn 0.3333 0.6667 0.5000 1
I1 I 0.3763 0.0083 0.7268 1
```

This record from Alexandria describes Rb2PuSnI6 after structural relaxation. The functional is PBE.

```
data_Rb2PuSnI6
_cell_length_a 8.4250
_cell_length_b 8.9940
_cell_length_c 14.8492
_cell_angle_alpha 90.00
_cell_angle_beta 124.15
_cell_angle_gamma 90.00
_space_group_name_H-M_alt 'P 1 21/c 1'
_space_group_IT_number 14
loop_
_space_group_symop_operation_xyz
'x,y,z'
'-x,-y,-z'
'-x,y+1/2,-z+1/2'
'x,-y+1/2,z+1/2'
loop_
_atom_site_label
_atom_site_type_symbol
_atom_site_fract_x
_atom_site_fract_y
_atom_site_fract_z
_atom_site_occupancy
Rb1 Rb 0.2172 0.0858 0.2494 1
Pu1 Pu 0.5000 0.0000 0.0000 1
Sn1 Sn 0.0000 0.0000 0.5000 1
I1 I 0.1392 0.1925 0.9480 1
I2 I 0.2626 0.6975 0.9487 1
I3 I 0.3561 0.0218 0.7511 1
```

This record from Alexandria describes RbSr2PuI8 after structural relaxation. The functional is PBE.

```
data_RbSr2PuI8
_cell_length_a 7.5691
_cell_length_b 7.8499
_cell_length_c 10.0753
_cell_angle_alpha 89.98
_cell_angle_beta 89.95
_cell_angle_gamma 89.88
_space_group_name_H-M_alt 'P -1'
_space_group_IT_number 2
loop_
_space_group_symop_operation_xyz
'x,y,z'
'-x,-y,-z'
loop_
_atom_site_label
_atom_site_type_symbol
_atom_site_fract_x
_atom_site_fract_y
_atom_site_fract_z
_atom_site_occupancy
Rb1 Rb 0.0000 0.0000 0.0000 1
Sr1 Sr 0.4999 0.5001 0.2498 1
Pu1 Pu 0.0000 0.0000 0.5000 1
I1 I 0.2450 0.8430 0.7126 1
I2 I 0.2456 0.8437 0.2872 1
I3 I 0.2506 0.3277 0.5002 1
I4 I 0.2624 0.3733 0.0002 1
```

This record from Alexandria describes RbSrPu2I8 after structural relaxation. The functional is PBE.

```
data_RbSrPu2I8
_cell_length_a 7.5417
_cell_length_b 7.9860
_cell_length_c 9.7342
_cell_angle_alpha 90.16
_cell_angle_beta 90.13
_cell_angle_gamma 91.36
_space_group_name_H-M_alt 'P -1'
_space_group_IT_number 2
loop_
_space_group_symop_operation_xyz
'x,y,z'
'-x,-y,-z'
loop_
_atom_site_label
_atom_site_type_symbol
_atom_site_fract_x
_atom_site_fract_y
_atom_site_fract_z
_atom_site_occupancy
Rb1 Rb 0.0000 0.0000 0.0000 1
Sr1 Sr 0.0000 0.0000 0.5000 1
Pu1 Pu 0.4999 0.4999 0.2518 1
I1 I 0.2631 0.6488 0.5000 1
I2 I 0.2646 0.1693 0.2719 1
I3 I 0.2652 0.1688 0.7302 1
I4 I 0.2702 0.6260 0.0000 1
```

This record from Alexandria describes RbTbPuI6 after structural relaxation. The functional is PBE.

```
data_RbTbPuI6
_cell_length_a 8.0194
_cell_length_b 8.0194
_cell_length_c 16.5252
_cell_angle_alpha 90.00
_cell_angle_beta 90.00
_cell_angle_gamma 120.00
_space_group_name_H-M_alt 'P -3 1 c'
_space_group_IT_number 163
_space_group_name_Hall '-P 3 2c'
loop_
_atom_site_label
_atom_site_type_symbol
_atom_site_fract_x
_atom_site_fract_y
_atom_site_fract_z
_atom_site_occupancy
Rb1 Rb 0.0000 0.0000 0.0000 1
Tb1 Tb 0.3333 0.6667 0.2500 1
Pu1 Pu 0.3333 0.6667 0.7500 1
I1 I 0.0128 0.3714 0.1403 1
```

This record from Alexandria describes Rb3PuTl3I8 after structural relaxation. The functional is PBE.

```
data_Rb3PuTl3I8
_cell_length_a 10.1214
_cell_length_b 10.1214
_cell_length_c 25.6466
_cell_angle_alpha 90.00
_cell_angle_beta 90.00
_cell_angle_gamma 120.00
_space_group_name_H-M_alt 'R -3 m'
_space_group_IT_number 166
_space_group_name_Hall '-R 3 2"'
loop_
_atom_site_label
_atom_site_type_symbol
_atom_site_fract_x
_atom_site_fract_y
_atom_site_fract_z
_atom_site_occupancy
Rb1 Rb 0.0000 0.5000 0.0000 1
Pu1 Pu 0.0000 0.0000 0.5000 1
Tl1 Tl 0.0000 0.5000 0.5000 1
I1 I 0.0000 0.0000 0.2463 1
I2 I 0.0292 0.5146 0.2392 1
```

This record from Alexandria describes RbPuTlI6 after structural relaxation. The functional is PBE.

```
data_RbPuTlI6
_cell_length_a 8.0337
_cell_length_b 8.0337
_cell_length_c 15.0416
_cell_angle_alpha 90.00
_cell_angle_beta 90.00
_cell_angle_gamma 90.00
_space_group_name_H-M_alt 'P 42 n m'
_space_group_IT_number 102
loop_
_space_group_symop_operation_xyz
'x,y,z'
'-y+1/2,x+1/2,z+1/2'
'-x,-y,z'
'y+1/2,-x+1/2,z+1/2'
'-x+1/2,y+1/2,z+1/2'
'y,x,z'
'x+1/2,-y+1/2,z+1/2'
'-y,-x,z'
loop_
_atom_site_label
_atom_site_type_symbol
_atom_site_fract_x
_atom_site_fract_y
_atom_site_fract_z
_atom_site_occupancy
Rb1 Rb 0.0000 0.0000 0.0000 1
Pu1 Pu 0.0000 0.0000 0.6642 1
Tl1 Tl 0.0000 0.0000 0.3336 1
I1 I 0.1795 0.1795 0.5161 1
I2 I 0.1916 0.1916 0.8028 1
I3 I 0.2355 0.2355 0.1702 1
```

For reference, formation energy from raw total energies by record: -1.24 -1.22 -1.21 -1.21 -1.15 -1.15 -1.15 -1.06 -1.31 -0.98 -1.05 -1.42 -1.28 -1.30 -1.06 -0.95 eV per atom.